No. 1
Here is a relaxed structure of MnI2Br6 from Alexandria via LeMat-Bulk. Energies are from GGA-PBE.

a = 10.0454 Å, b = 19.6825 Å, c = 8.5545 Å
α = 90.00°, β = 91.42°, γ = 90.00°
Closest atoms and distances in Å follow each position.
Space group C2/c (No. 15)
Asymmetric unit:
Mn1 0.0000 0.1922 0.2500 (multiplicity 4)  4 Br 2.32-2.41
I1 0.2465 0.0903 0.9263 (multiplicity 8)  1 Br 2.57
Br1 0.0245 0.2324 0.5039 (multiplicity 8)  1 Mn 2.32
Br2 0.2216 0.1453 0.2375 (multiplicity 8)  1 Mn 2.41
Br3 0.2307 0.4404 0.3644 (multiplicity 8)  1 I 2.57

formation energy without anion corrections	-240	meV per atom

---

No. 2
Here is a relaxed structure of MnIBr2 from Alexandria via LeMat-Bulk. Energies are from GGA-PBE.

a = 6.7292 Å, b = 11.7272 Å, c = 7.1974 Å
α = 90.00°, β = 102.56°, γ = 90.00°
Closest atoms and distances in Å follow each position.
Space group Cm (No. 8)
Asymmetric unit:
Mn1 0.0000 0.1613 0.0000 (multiplicity 4)  4 Br 2.48-2.69, 2 I 2.73-2.76
I1 0.1217 0.3234 0.7688 (multiplicity 4)  2 Mn 2.73-2.76
Br1 0.0880 0.0000 0.7824 (multiplicity 2)  2 Mn 2.60
Br2 0.3433 0.1859 0.2078 (multiplicity 4)  2 Mn 2.48-2.69
Br3 0.4085 0.5000 0.2039 (multiplicity 2)  2 Mn 2.55

formation energy without anion corrections	-537	meV per atom
ΔE to the lowest computed polymorph	0.0	meV per atom

---

No. 3
Here is a relaxed structure of MnI2Br from Alexandria via LeMat-Bulk. Energies are from GGA-PBE.

a = 8.3044 Å, b = 12.7225 Å, c = 3.5044 Å
α = 90.00°, β = 114.90°, γ = 90.00°
Closest atoms and distances in Å follow each position.
Space group Cm (No. 8)
Asymmetric unit:
Mn1 0.0000 0.0000 0.0000 (multiplicity 2)  2 Br 2.59, 4 I 2.82
I1 0.1546 0.1479 0.6545 (multiplicity 4)  2 Mn 2.82
Br1 0.2477 0.5000 0.2483 (multiplicity 2)  2 Mn 2.59

formation energy without anion corrections	-339	meV per atom
ΔE to the lowest computed polymorph	56.7	meV per atom

---

No. 4
Here is a relaxed structure of Mn2I3Br from Alexandria via LeMat-Bulk. Energies are from GGA-PBE.

a = 30.6586 Å, b = 4.3535 Å, c = 8.3245 Å
α = 90.00°, β = 97.87°, γ = 90.00°
Closest atoms and distances in Å follow each position.
Space group C2/m (No. 12)
Asymmetric unit:
Mn1 0.0332 0.0000 0.1875 (multiplicity 4)  4 I 2.72-2.73
Mn2 0.2389 0.5000 0.3110 (multiplicity 4)  1 Br 2.34
I1 0.0561 0.0000 0.8834 (multiplicity 4)  2 Mn 2.72
I2 0.0636 0.5000 0.3660 (multiplicity 4)  2 Mn 2.73
I3 0.2038 0.5000 0.6124 (multiplicity 4)  3 Mn 2.81-2.86
Br1 0.1853 0.5000 0.0829 (multiplicity 4)  1 Mn 2.34

formation energy without anion corrections	-444	meV per atom
ΔE to the lowest computed polymorph	73.2	meV per atom

---

No. 5
Here is a relaxed structure of MnI2Br from Alexandria via LeMat-Bulk. Energies are from GGA-PBE.

a = 7.6786 Å, b = 7.6786 Å, c = 7.6786 Å
α = 90.00°, β = 90.00°, γ = 90.00°
Closest atoms and distances in Å follow each position.
Space group Fm-3m (No. 225)
Asymmetric unit:
Mn1 0.0000 0.0000 0.0000 (multiplicity 4)  8 I 3.32
I1 0.2500 0.2500 0.2500 (multiplicity 8)  4 Mn 3.32, 4 Br 3.32
Br1 0.0000 0.0000 0.5000 (multiplicity 4)  8 I 3.32

formation energy without anion corrections	310	meV per atom
ΔE to the lowest computed polymorph	706.4	meV per atom

---

No. 6
Here is a relaxed structure of MnI3Br from Alexandria via LeMat-Bulk. Energies are from GGA-PBE.

a = 5.2939 Å, b = 5.2939 Å, c = 5.2939 Å
α = 90.00°, β = 90.00°, γ = 90.00°
Closest atoms and distances in Å follow each position.
Space group Pm-3m (No. 221)
Asymmetric unit:
Mn1 0.0000 0.0000 0.0000 (multiplicity 1)  6 I 2.65
I1 0.0000 0.0000 0.5000 (multiplicity 3)  2 Mn 2.65
Br1 0.5000 0.5000 0.5000 (multiplicity 1)  12 I 3.74

formation energy without anion corrections	375	meV per atom
ΔE to the lowest computed polymorph	640.6	meV per atom